Entry 1:
Material: Mg2H6Os
Method: DFT, GGA-PBE
State: optimized geometry

a b c (Å): 4.6950 4.6950 4.6950
angles (deg): 60.00 60.00 60.00
Last column: nearest neighbours and their distance in Å.
Atoms (fractional coordinates):
Mg: 0.2500 0.2500 0.2500  12 H 2.35
Mg: 0.7500 0.7500 0.7500  12 H 2.35
H: 0.2445 0.2445 0.7555  1 Os 1.70
H: 0.2445 0.7555 0.2445  1 Os 1.70
H: 0.2445 0.7555 0.7555  1 Os 1.70
H: 0.7555 0.2445 0.2445  1 Os 1.70
H: 0.7555 0.2445 0.7555  1 Os 1.70
H: 0.7555 0.7555 0.2445  1 Os 1.70
Os: 0.5000 0.5000 0.5000  6 H 1.70

Results
- polymorph energy (0 for the lowest one) (meV/atom) = 0.0
- energy (eV per atom) = -4.19
- symmetry = Fm-3m, No. 225

=====

Entry 2:
Material: MgHOs2
Method: DFT, GGA-PBE
State: optimized geometry

a b c (Å): 5.8778 5.8778 5.8778
angles (deg): 90.00 90.00 90.00
Last column: nearest neighbours and their distance in Å.
Atoms (fractional coordinates):
Mg: 0.0000 0.0000 0.0000  8 Os 2.55
Mg: 0.0000 0.5000 0.5000  8 Os 2.55
Mg: 0.5000 0.0000 0.5000  8 Os 2.55
Mg: 0.5000 0.5000 0.0000  8 Os 2.55
H: 0.0000 0.0000 0.5000  8 Os 2.55
H: 0.0000 0.5000 0.0000  8 Os 2.55
H: 0.5000 0.0000 0.0000  8 Os 2.55
H: 0.5000 0.5000 0.5000  8 Os 2.55
Os: 0.2500 0.2500 0.2500  4 H 2.55, 4 Mg 2.55
Os: 0.2500 0.2500 0.7500  4 H 2.55, 4 Mg 2.55
Os: 0.2500 0.7500 0.2500  4 H 2.55, 4 Mg 2.55
Os: 0.2500 0.7500 0.7500  4 H 2.55, 4 Mg 2.55
Os: 0.7500 0.2500 0.2500  4 H 2.55, 4 Mg 2.55
Os: 0.7500 0.2500 0.7500  4 H 2.55, 4 Mg 2.55
Os: 0.7500 0.7500 0.2500  4 H 2.55, 4 Mg 2.55
Os: 0.7500 0.7500 0.7500  4 H 2.55, 4 Mg 2.55

Results
- polymorph energy (0 for the lowest one) (meV/atom) = 667.6
- energy (eV per atom) = -5.53
- symmetry = Fm-3m, No. 225

=====

Entry 3:
Material: Mg2H6Os
Method: DFT, GGA-PBE
State: optimized geometry

a b c (Å): 4.3893 4.3893 8.3693
angles (deg): 90.00 90.00 90.00
Last column: nearest neighbours and their distance in Å.
Atoms (fractional coordinates):
Mg: 0.0000 0.0000 0.1694  6 H 1.92-1.98
Mg: 0.0000 0.0000 0.8306  6 H 1.92-1.98
Mg: 0.5000 0.5000 0.3306  6 H 1.92-1.98
Mg: 0.5000 0.5000 0.6694  6 H 1.92-1.98
H: 0.1932 0.1932 0.3548  1 Os 1.71
H: 0.1932 0.1932 0.6452  1 Os 1.71
H: 0.2232 0.2232 0.0000  1 Os 1.72
H: 0.2768 0.7232 0.5000  1 Os 1.72
H: 0.3068 0.6932 0.1452  1 Os 1.71
H: 0.3068 0.6932 0.8548  1 Os 1.71
H: 0.6932 0.3068 0.1452  1 Os 1.71
H: 0.6932 0.3068 0.8548  1 Os 1.71
H: 0.7232 0.2768 0.5000  1 Os 1.72
H: 0.7768 0.7768 0.0000  1 Os 1.72
H: 0.8068 0.8068 0.3548  1 Os 1.71
H: 0.8068 0.8068 0.6452  1 Os 1.71
Os: 0.0000 0.0000 0.5000  6 H 1.71-1.72
Os: 0.5000 0.5000 0.0000  6 H 1.71-1.72

Results
- polymorph energy (0 for the lowest one) (meV/atom) = 231.5
- energy (eV per atom) = -3.96
- symmetry = P4_2/mnm, No. 136

=====

Entry 4:
Material: MgH4Os
Method: DFT, GGA-PBE
State: optimized geometry

a b c (Å): 4.5713 4.5713 5.6508
angles (deg): 90.56 90.56 65.08
Last column: nearest neighbours and their distance in Å.
Atoms (fractional coordinates):
Mg: 0.9998 0.0002 0.2500  4 H 1.94
Mg: 0.0002 0.9998 0.7500  4 H 1.94
H: 0.0864 0.6849 0.9983  1 Os 1.72
H: 0.3151 0.9136 0.5017  1 Os 1.72
H: 0.3534 0.3528 0.2477  2 Os 1.81
H: 0.3528 0.3534 0.7477  2 Os 1.81
H: 0.6472 0.6466 0.2523  2 Os 1.81
H: 0.6466 0.6472 0.7523  2 Os 1.81
H: 0.6849 0.0864 0.4983  1 Os 1.72
H: 0.9136 0.3151 0.0017  1 Os 1.72
Os: 0.5000 0.5000 0.0000  6 H 1.72-1.81
Os: 0.5000 0.5000 0.5000  6 H 1.72-1.81

Results
- energy (eV per atom) = -4.32
- symmetry = C2/c, No. 15

=====

Entry 5:
Material: Mg3HOs
Method: DFT, GGA-PBE
State: optimized geometry

a b c (Å): 4.1284 4.1284 4.1284
angles (deg): 90.00 90.00 90.00
Last column: nearest neighbours and their distance in Å.
Atoms (fractional coordinates):
Mg: 0.0000 0.0000 0.5000  2 H 2.06
Mg: 0.0000 0.5000 0.0000  2 H 2.06
Mg: 0.5000 0.0000 0.0000  2 H 2.06
H: 0.0000 0.0000 0.0000  6 Mg 2.06
Os: 0.5000 0.5000 0.5000  12 Mg 2.92

Results
- polymorph energy (0 for the lowest one) (meV/atom) = 0.0
- energy (eV per atom) = -3.72
- symmetry = Pm-3m, No. 221

=====

Entry 6:
Material: MgHOs
Method: DFT, GGA-PBE
State: optimized geometry

a b c (Å): 2.9494 4.9462 5.3548
angles (deg): 79.87 74.06 72.82
Last column: nearest neighbours and their distance in Å.
Atoms (fractional coordinates):
Mg: 0.0691 0.2039 0.1600  1 H 2.05
Mg: 0.9309 0.7961 0.8400  1 H 2.05
H: 0.2679 0.7669 0.1975  2 Os 1.81
H: 0.7321 0.2331 0.8025  2 Os 1.81
Os: 0.3076 0.2854 0.5996  2 H 1.81
Os: 0.6924 0.7146 0.4004  2 H 1.81

Results
- energy (eV per atom) = -5.31
- symmetry = P-1, No. 2

=====

Entry 7:
Material: Mg2HOsRh
Method: DFT, GGA-PBE
State: optimized geometry

a b c (Å): 4.3694 4.3694 3.3985
angles (deg): 90.00 90.00 90.00
Last column: nearest neighbours and their distance in Å.
Atoms (fractional coordinates):
Mg: 0.0000 0.5000 0.0000  2 H 2.18
Mg: 0.5000 0.0000 0.0000  2 H 2.18
H: 0.0000 0.0000 0.0000  2 Os 1.70
Os: 0.0000 0.0000 0.5000  2 H 1.70
Rh: 0.5000 0.5000 0.5000  8 Mg 2.77, 4 Os 3.09

Results
- energy (eV per atom) = -5.02
- symmetry = P4/mmm, No. 123

=====

Entry 8:
Material: Sr2MgH6Os
Method: DFT, GGA-PBE
State: optimized geometry

a b c (Å): 5.2710 5.2710 6.0735
angles (deg): 90.00 90.00 120.00
Last column: nearest neighbours and their distance in Å.
Atoms (fractional coordinates):
Sr: 0.3333 0.6667 0.3137  9 H 2.64-2.69
Sr: 0.6667 0.3333 0.6863  9 H 2.64-2.69
Mg: 0.0000 0.0000 0.0000  6 H 2.47
H: 0.1546 0.3092 0.6656  1 Os 1.73
H: 0.1546 0.8454 0.6656  1 Os 1.73
H: 0.3092 0.1546 0.3344  1 Os 1.73
H: 0.6908 0.8454 0.6656  1 Os 1.73
H: 0.8454 0.1546 0.3344  1 Os 1.73
H: 0.8454 0.6908 0.3344  1 Os 1.73
Os: 0.0000 0.0000 0.5000  6 H 1.73

Results
- energy (eV per atom) = -3.96
- symmetry = P-3m1, No. 164